[1]
Entry from Alexandria: an optimized crystal structure of Ce6Tl2Sn (PBE-GGA).

```
Ce6Tl2Sn
1.0
-1.603 4.418 8.480
1.603 -4.418 8.480
1.603 4.418 -8.480
Ce Tl Sn
6 2 1
direct
0.006 0.161 0.845
0.316 0.161 0.155
0.343 0.000 0.343
0.657 0.000 0.657
0.684 0.839 0.845
0.994 0.839 0.155
0.339 0.339 0.000
0.661 0.661 0.000
0.000 0.500 0.500
```

Computed properties:
DOS(E_F)   24.65 states/eV/f.u.
Distance to the lowest polymorph of the same formula   38.1 meV per atom
ΔH_f (0 K)   -0.143 eV/atom
Crystal system   orthorhombic
Symmetry   Immm
E_tot   -5.07 eV per atom



[2]
Entry from Alexandria: an optimized crystal structure of MgZn2Sn (PBE-GGA).

```
MgZn2Sn
1.0
2.231 1.288 5.032
-2.231 1.288 5.032
0.000 -2.577 5.032
Mg Zn Sn
1 2 1
direct
0.000 0.000 0.000
0.396 0.396 0.396
0.579 0.579 0.579
0.803 0.803 0.803
```

Computed properties:
DOS(E_F)   1.98 states/eV/f.u.
ΔH_f (0 K)   0.080 eV/atom
Crystal system   trigonal
Symmetry   R3m
E_tot   -1.96 eV per atom



[3]
Entry from Alexandria: an optimized crystal structure of HoMg3Au4 (PBE-GGA).

```
HoMg3Au4
1.0
4.799 0.000 0.000
0.000 4.799 0.000
0.000 0.000 6.777
Ho Mg Au
1 3 4
direct
0.000 0.000 0.000
0.000 0.000 0.500
0.500 0.500 0.000
0.500 0.500 0.500
0.000 0.500 0.263
0.000 0.500 0.737
0.500 0.000 0.263
0.500 0.000 0.737
```

Computed properties:
DOS(E_F)   2.37 states/eV/f.u.
ΔH_f (0 K)   -0.676 eV/atom
Crystal system   tetragonal
Symmetry   P4/mmm
E_tot   -3.48 eV per atom



[4]
Entry from Alexandria: an optimized crystal structure of Ho3Pa2Ru4 (PBE-GGA).

```
Ho3Pa2Ru4
1.0
4.279 -5.416 0.000
4.279 5.416 0.000
-0.931 0.000 8.858
Ho Pa Ru
6 4 8
direct
0.063 0.351 0.648
0.117 0.883 0.750
0.351 0.063 0.148
0.649 0.937 0.852
0.883 0.117 0.250
0.937 0.649 0.352
0.258 0.538 0.056
0.462 0.742 0.444
0.538 0.258 0.556
0.742 0.462 0.944
0.022 0.219 0.956
0.219 0.022 0.456
0.248 0.416 0.363
0.416 0.248 0.863
0.584 0.752 0.137
0.752 0.584 0.637
0.781 0.978 0.544
0.978 0.781 0.044
```

Computed properties:
DOS(E_F)   4.96 states/eV/f.u.
ΔH_f (0 K)   -0.493 eV/atom
Crystal system   monoclinic
Symmetry   C2/c
E_tot   -8.25 eV per atom